# CaLaPb2 PBE relaxed
# Formation enthalpy at 0 K in meV per atom: -547
# ρ in Mg/m³: 7.9
# Fermi-level density of states in states/eV per atom: 0.621
data_CaLaPb2
_space_group_name_H-M_alt 'C 1 2/m 1'
_space_group_IT_number 12
_space_group_name_Hall '-C 2y'
_cell_length_a 7.470
_cell_length_b 9.198
_cell_length_c 3.636
_cell_angle_alpha 90.00
_cell_angle_beta 90.28
_cell_angle_gamma 90.00
loop_
_atom_site_label
_atom_site_type_symbol
_atom_site_fract_x
_atom_site_fract_y
_atom_site_fract_z
_atom_site_occupancy
Ca1 Ca 0.000 0.000 0.000 1
La1 La 0.000 0.500 0.000 1
Pb1 Pb 0.250 0.250 0.500 1